1.
Entry from Alexandria: a geometry-optimized NiSb2As structure (GGA-PBE).

## Properties
formation energy from raw total energies = 1.395 eV per formula unit
E = -17.28 eV for the cell shown

```
NiSb2As
1.0
4.8304 -0.0287 0.0000
-0.6951 4.7802 0.0000
0.0000 0.0000 3.5625
As Sb Ni
1 2 1
direct
0.5000 0.0000 0.5000
0.5000 0.5000 0.0000
0.0000 0.0000 0.0000
0.0000 0.5000 0.5000
```

2.
Entry from Alexandria: a geometry-optimized Ni8SbAs2 structure (GGA-PBE).

## Properties
formation energy from raw total energies = -2.182 eV per formula unit
E = -61.85 eV for the cell shown

```
Ni8SbAs2
1.0
0.5182 2.3931 -3.7556
2.6561 -4.0580 -1.5958
-6.6681 -1.6128 0.4171
Ni As Sb
8 2 1
direct
0.7094 0.0272 0.1458
0.2851 0.3543 0.2762
0.8333 0.3139 0.9079
0.9165 0.9853 0.5407
0.2663 0.8342 0.2782
0.4728 0.7900 0.6727
0.3463 0.5021 0.9105
0.8968 0.4640 0.5408
0.7531 0.5694 0.2294
0.4290 0.2508 0.5887
0.0913 0.9088 0.9090
```

3.
Entry from Alexandria: a geometry-optimized NiSbAs2 structure (GGA-PBE).

## Properties
formation energy from raw total energies = 0.266 eV per formula unit
E = -18.94 eV for the cell shown

```
NiSbAs2
1.0
-0.2570 -2.3969 -1.9504
3.8034 -0.8865 -1.8766
2.7355 -5.2385 3.6122
As Ni Sb
2 1 1
direct
0.9434 0.9709 0.1424
0.2576 0.6949 0.7899
0.6794 0.5712 0.0700
0.6196 0.2630 0.4978
```

4.
Entry from Alexandria: a geometry-optimized NiSb2As structure (GGA-PBE).

## Properties
formation energy from raw total energies = 1.380 eV per formula unit
E = -17.30 eV for the cell shown

```
NiSb2As
1.0
5.2116 -0.0040 0.0097
0.8460 5.1425 -0.0097
-2.3151 -3.4106 3.1889
Ni Sb As
1 2 1
direct
0.2500 0.7500 0.5000
0.4650 0.4650 0.0000
0.0350 0.0350 0.0000
0.7500 0.2500 0.5000
```

5.
Entry from Alexandria: a geometry-optimized NiSbAs2 structure (GGA-PBE).

## Properties
formation energy from raw total energies = 1.779 eV per formula unit
E = -17.42 eV for the cell shown

```
NiSbAs2
1.0
4.7252 0.0000 0.0000
0.0000 4.7252 0.0000
0.0000 0.0000 3.3877
Sb As Ni
1 2 1
direct
0.0000 0.5000 0.5000
0.5000 0.5000 0.0000
0.0000 0.0000 0.0000
0.5000 0.0000 0.5000
```

6.
Entry from Alexandria: a geometry-optimized NiSb2As structure (GGA-PBE).

## Properties
formation energy from raw total energies = 1.659 eV per formula unit
E = -17.02 eV for the cell shown

```
NiSb2As
1.0
5.9274 0.0753 0.0000
3.1237 5.0380 0.0000
-4.5255 -2.5567 2.8500
Sb As Ni
2 1 1
direct
0.2500 0.7500 0.5000
0.0000 0.0000 0.0000
0.5000 0.5000 0.0000
0.7500 0.2500 0.5000
```

7.
Entry from Alexandria: a geometry-optimized NiSb2As structure (GGA-PBE).

## Properties
formation energy from raw total energies = 1.430 eV per formula unit
E = -17.25 eV for the cell shown

```
NiSb2As
1.0
4.8640 0.0000 0.0000
0.0000 4.9627 0.0000
0.0000 0.0000 3.3898
Sb Ni As
2 1 1
direct
0.5000 0.5000 0.0000
0.0000 0.0000 0.0000
0.0000 0.5000 0.5000
0.5000 0.0000 0.5000
```

8.
Entry from Alexandria: a geometry-optimized Sm2Ni4SbAs3 structure (GGA-PBE).

## Properties
formation energy from raw total energies = -7.398 eV per formula unit
E = -58.03 eV for the cell shown

```
Sm2Ni4SbAs3
1.0
-3.9034 -0.0454 1.5749
-1.1996 -2.6420 -3.0495
2.3865 -7.6561 5.6942
Ni Sm Sb As
4 2 1 3
direct
0.0000 0.0000 0.0000
0.5000 0.5000 0.0000
0.0000 0.5000 0.3633
0.5000 0.0000 0.6367
0.5000 0.0000 0.2328
0.0000 0.5000 0.7672
0.5000 0.5000 0.5000
0.0000 0.0000 0.5000
0.0000 0.5000 0.1251
0.5000 0.0000 0.8749
```

9.
Entry from Alexandria: a geometry-optimized Sm2Ni4Sb3As structure (GGA-PBE).

## Properties
formation energy from raw total energies = -6.635 eV per formula unit
E = -56.22 eV for the cell shown

```
Sm2Ni4Sb3As
1.0
-2.7636 -2.3957 -2.4515
2.7271 0.3710 -3.4369
4.6465 -8.2246 2.7991
Sb Ni Sm As
3 4 2 1
direct
0.0000 0.0000 0.5000
0.5000 0.0000 0.8696
0.0000 0.5000 0.1304
0.0000 0.0000 0.0000
0.5000 0.0000 0.6159
0.0000 0.5000 0.3841
0.5000 0.5000 0.0000
0.0000 0.5000 0.7510
0.5000 0.0000 0.2490
0.5000 0.5000 0.5000
```

10.
Entry from Alexandria: a geometry-optimized NiSn2SbAs structure (GGA-PBE).

## Properties
formation energy from raw total energies = 6.287 eV per formula unit
E = -16.27 eV for the cell shown

```
NiSn2SbAs
1.0
-0.0369 -5.5504 -1.3091
-0.9387 -1.1657 4.9689
-5.6086 0.2721 -0.9957
Sn Ni Sb As
2 1 1 1
direct
0.5000 0.0000 0.0000
0.0000 0.0000 0.5000
0.5000 0.5000 0.5000
0.0000 0.0000 0.0000
0.0000 0.5000 0.0000
```

11.
Entry from Alexandria: a geometry-optimized Sr2Ni4SbAs3 structure (GGA-PBE).

## Properties
formation energy from raw total energies = -5.960 eV per formula unit
E = -50.52 eV for the cell shown

```
Sr2Ni4SbAs3
1.0
4.3199 0.0000 0.0000
0.0000 4.3199 0.0000
0.0000 0.0000 9.9011
As Sr Ni Sb
3 2 4 1
direct
0.0000 0.5000 0.1220
0.0000 0.0000 0.5000
0.5000 0.0000 0.8780
0.0000 0.5000 0.7622
0.5000 0.0000 0.2378
0.0000 0.5000 0.3673
0.5000 0.5000 0.0000
0.5000 0.0000 0.6327
0.0000 0.0000 0.0000
0.5000 0.5000 0.5000
```

12.
Entry from Alexandria: a geometry-optimized Sr2Ni4Sb3As structure (GGA-PBE).

## Properties
formation energy from raw total energies = -5.597 eV per formula unit
E = -49.10 eV for the cell shown

```
Sr2Ni4Sb3As
1.0
4.4763 0.0000 0.0000
0.0000 4.4763 0.0000
0.0000 0.0000 10.1270
Sb Sr Ni As
3 2 4 1
direct
0.0000 0.5000 0.1287
0.0000 0.0000 0.5000
0.5000 0.0000 0.8713
0.0000 0.5000 0.7505
0.5000 0.0000 0.2495
0.0000 0.5000 0.3844
0.0000 0.0000 0.0000
0.5000 0.0000 0.6156
0.5000 0.5000 0.0000
0.5000 0.5000 0.5000
```

13.
Entry from Alexandria: a geometry-optimized NiSb2TeAs structure (GGA-PBE).

## Properties
energy above the lowest structure with this stoichiometry = 0.0000 eV/atom
formation energy from raw total energies = 2.106 eV per formula unit
E = -19.71 eV for the cell shown

```
NiSb2TeAs
1.0
-1.3797 -4.6839 -0.0806
4.4281 -1.2766 -1.6159
1.6335 -0.5659 4.9235
Sb As Te Ni
2 1 1 1
direct
0.5000 0.0000 0.0000
0.0000 0.5000 0.0000
0.5000 0.5000 0.5000
0.0000 0.0000 0.5000
0.0000 0.0000 0.0000
```

14.
Entry from Alexandria: a geometry-optimized NiSbTe2As structure (GGA-PBE).

## Properties
energy above the lowest structure with this stoichiometry = 0.6134 eV/atom
formation energy from raw total energies = 5.253 eV per formula unit
E = -15.58 eV for the cell shown

```
NiSbTe2As
1.0
-0.5875 1.4306 5.2517
-5.4368 0.0986 -0.6351
-0.2468 -5.0051 1.3358
Ni Sb Te As
1 1 2 1
direct
0.5000 0.5000 0.5000
0.0000 0.0000 0.5000
0.0000 0.5000 0.0000
0.5000 0.0000 0.0000
0.0000 0.0000 0.0000
```

15.
Entry from Alexandria: a geometry-optimized NiSbTe2As structure (GGA-PBE).

## Properties
energy above the lowest structure with this stoichiometry = 0.0000 eV/atom
formation energy from raw total energies = 2.186 eV per formula unit
E = -18.65 eV for the cell shown

```
NiSbTe2As
1.0
5.0919 0.0000 0.0000
0.0000 5.0919 0.0000
0.0000 0.0000 4.8419
Ni Te As Sb
1 2 1 1
direct
0.0000 0.0000 0.0000
0.5000 0.0000 0.0000
0.0000 0.5000 0.0000
0.5000 0.5000 0.5000
0.0000 0.0000 0.5000
```

16.
Entry from Alexandria: a geometry-optimized Ti2NiSbAs structure (GGA-PBE).

## Properties
formation energy from raw total energies = -0.149 eV per formula unit
E = -30.49 eV for the cell shown

```
Ti2NiSbAs
1.0
-3.5326 2.1442 -2.3880
-2.4687 -3.4867 0.5213
-1.6749 1.7977 4.0918
Sb Ti As Ni
1 2 1 1
direct
0.5000 0.5000 0.5000
0.0000 0.0000 0.5000
0.5000 0.0000 0.0000
0.0000 0.0000 0.0000
0.0000 0.5000 0.0000
```

17.
Entry from Alexandria: a geometry-optimized UNi7Sb2As2 structure (GGA-PBE).

## Properties
formation energy from raw total energies = -1.884 eV per formula unit
E = -71.19 eV for the cell shown

```
UNi7Sb2As2
1.0
3.7507 -0.0018 -0.0217
0.0028 3.7507 -0.0217
1.9526 1.9502 14.2991
Sb Ni As U
2 7 2 1
direct
0.7878 0.7878 0.4236
0.2122 0.2122 0.5764
0.3009 0.3009 0.3966
0.0668 0.5665 0.8669
0.5000 0.5000 0.0000
0.6991 0.6991 0.6034
0.4335 0.9332 0.1331
0.9332 0.4335 0.1331
0.5665 0.0668 0.8669
0.3823 0.3823 0.2348
0.6177 0.6177 0.7652
0.0000 0.0000 0.0000
```

18.
Entry from Alexandria: a geometry-optimized YNi2SbAs structure (GGA-PBE).

## Properties
formation energy from raw total energies = 1.025 eV per formula unit
E = -25.77 eV for the cell shown

```
YNi2SbAs
1.0
-2.9791 0.8328 3.3656
-2.2305 -5.0032 -0.7363
2.9356 -1.7551 3.0327
Sb As Ni Y
1 1 2 1
direct
0.0000 0.0000 0.0000
0.0000 0.5000 0.0000
0.0000 0.0000 0.5000
0.5000 0.0000 0.0000
0.5000 0.5000 0.5000
```

19.
Entry from Alexandria: a geometry-optimized Zr2NiSbAs structure (GGA-PBE).

## Properties
formation energy from raw total energies = 0.359 eV per formula unit
E = -31.29 eV for the cell shown

```
Zr2NiSbAs
1.0
5.0063 0.0000 0.0000
0.0000 4.4682 0.0000
0.0000 0.0000 5.0063
Zr Sb As Ni
2 1 1 1
direct
0.0000 0.0000 0.5000
0.5000 0.0000 0.0000
0.0000 0.5000 0.0000
0.5000 0.5000 0.5000
0.0000 0.0000 0.0000
```

20.
Entry from Alexandria: a geometry-optimized ScNi6As4 structure (GGA-PBE).

## Properties
E = -64.59 eV for the cell shown

```
ScNi6As4
1.0
3.6712 0.0000 0.0000
0.0000 5.9551 -3.4382
0.0000 0.0000 6.8764
Ni As Sc
6 4 1
direct
0.5000 0.5969 0.7984
0.0000 0.9248 0.4624
0.0000 0.5376 0.4624
0.0000 0.5376 0.0752
0.5000 0.2016 0.7984
0.5000 0.2016 0.4031
0.5000 0.8160 0.1840
0.5000 0.8160 0.6321
0.5000 0.3679 0.1840
0.0000 0.3333 0.6667
0.0000 0.0000 0.0000
```

21.
Entry from Alexandria: a geometry-optimized ScNi2As structure (GGA-PBE).

## Properties
E = -47.81 eV for the cell shown

```
ScNi2As
1.0
3.9402 0.0000 0.0000
0.0000 3.9402 0.0000
1.9701 1.9701 8.1727
Ni As Sc
4 2 2
direct
0.6826 0.1250 0.2500
0.3750 0.3174 0.7500
0.0674 0.6250 0.2500
0.8750 0.9326 0.7500
0.7500 0.2500 0.5000
0.0000 0.0000 0.0000
0.5000 0.5000 0.0000
0.2500 0.7500 0.5000
```

22.
Entry from Alexandria: a geometry-optimized ScNi2As structure (GGA-PBE).

## Properties
E = -24.59 eV for the cell shown

```
ScNi2As
1.0
-3.6296 -0.9119 1.0561
1.1525 -0.3012 3.7008
-0.7562 3.6242 0.5304
As Ni Sc
1 2 1
direct
0.0000 0.5000 0.5000
0.5000 0.5000 0.0000
0.0000 0.0000 0.0000
0.5000 0.0000 0.5000
```

23.
Entry from Alexandria: a geometry-optimized Sc2NiAs structure (GGA-PBE).

## Properties
E = -25.65 eV for the cell shown

```
Sc2NiAs
1.0
-1.5511 0.7574 3.3899
-3.4449 0.1504 -1.6099
-0.6448 -5.2856 0.8859
Ni As Sc
1 1 2
direct
0.5000 0.5000 0.8630
0.0000 0.0000 0.4017
0.0000 0.0000 0.9004
0.5000 0.5000 0.3349
```

24.
Entry from Alexandria: a geometry-optimized Sc2NiAs structure (GGA-PBE).

## Properties
E = -25.93 eV for the cell shown

```
Sc2NiAs
1.0
5.6786 0.0241 -0.0162
4.5910 3.3421 -0.0162
1.4385 0.4715 3.7342
Sc Ni As
2 1 1
direct
0.7518 0.7518 0.7482
0.9820 0.9820 0.0181
0.2247 0.2247 0.2752
0.5416 0.5416 0.4585
```

25.
Entry from Alexandria: a geometry-optimized Sc2NiAs structure (GGA-PBE).

## Properties
E = -23.65 eV for the cell shown

```
Sc2NiAs
1.0
4.5954 0.0000 0.0000
2.2977 3.9797 0.0000
2.2977 1.3266 3.7521
As Sc Ni
1 2 1
direct
0.5000 0.5000 0.5000
0.2500 0.2500 0.2500
0.0000 0.0000 0.0000
0.7500 0.7500 0.7500
```

26.
Entry from Alexandria: a geometry-optimized ScNi2As structure (GGA-PBE).

## Properties
E = -24.03 eV for the cell shown

```
ScNi2As
1.0
3.2551 0.0000 0.0000
0.0000 3.2832 0.0000
0.0000 0.0000 5.5434
Ni As Sc
2 1 1
direct
0.5000 0.5000 0.2336
0.0000 0.0000 0.9827
0.5000 0.5000 0.8092
0.0000 0.0000 0.4745
```

27.
Entry from Alexandria: a geometry-optimized ScNi6As2 structure (GGA-PBE).

## Properties
E = -52.58 eV for the cell shown

```
ScNi6As2
1.0
3.7965 0.3215 0.9207
1.0777 5.6660 1.9226
0.5474 0.0971 6.0542
Ni Sc As
6 1 2
direct
0.1782 0.5140 0.1295
0.5000 0.2873 0.7127
0.5000 0.7127 0.2873
0.8218 0.8705 0.4860
0.8218 0.4860 0.8705
0.1782 0.1295 0.5140
0.0000 0.0000 0.0000
0.3002 0.6999 0.6999
0.6998 0.3001 0.3001
```